First-principles (meta-GGA SCAN) data for a crystal of MnHgOs2 relaxed with PBEsol, as listed in Alexandria.

The space group is P4/mmm (No. 123) and the conventional cell measures 3.885, 3.885 and 3.913 Å, with angles of 90.00, 90.00 and 90.00 degrees. The asymmetric unit holds Mn at (0.000, 0.000, 0.000), Hg at (0.500, 0.500, 0.000) and Os at (0.000, 0.500, 0.500).

The crystal system is tetragonal. Its magnetic moment is 0.8054 μB per atom. The final energy comes out at -227.95 eV per cell.

***

First-principles (meta-GGA SCAN) data for a crystal of Mn2HgOs relaxed with PBEsol, as listed in Alexandria.

The space group is P4mm (No. 99) and the conventional cell measures 2.761, 2.761 and 7.499 Å, with angles of 90.00, 90.00 and 90.00 degrees. The asymmetric unit holds Mn at (0.000, 0.000, 0.000), Mn at (0.500, 0.500, 0.221), Hg at (0.000, 0.000, 0.501) and Os at (0.500, 0.500, 0.802).

The crystal system is tetragonal. Its magnetic moment is 0.3479 μB per atom. The final energy comes out at -175.73 eV per cell.

***

First-principles (meta-GGA SCAN) data for a crystal of MnHgOs2 relaxed with PBEsol, as listed in Alexandria.

The space group is Pmm2 (No. 25) and the conventional cell measures 2.808, 3.811 and 5.650 Å, with angles of 90.00, 90.00 and 90.00 degrees. The asymmetric unit holds Mn at (0.000, 0.000, 0.000), Hg at (0.500, 0.500, 0.741), Os at (0.000, 0.000, 0.440) and Os at (0.500, 0.500, 0.243).

The crystal system is orthorhombic. Its magnetic moment is 0.9417 μB per atom. The final energy comes out at -229.12 eV per cell.

***

First-principles (meta-GGA SCAN) data for a crystal of MnHgP2 relaxed with PBEsol, as listed in Alexandria.

The space group is I-42d (No. 122) and the conventional cell measures 5.510, 5.510 and 10.355 Å, with angles of 90.00, 90.00 and 90.00 degrees. The asymmetric unit holds Mn at (0.000, 0.000, 0.000), Hg at (0.000, 0.000, 0.500) and P at (0.177, 0.250, 0.125).

The crystal system is tetragonal. Its magnetic moment is 0.6480 μB per atom. The final energy comes out at -426.94 eV per cell.

***

First-principles (meta-GGA SCAN) data for a crystal of MnHgP2 relaxed with PBEsol, as listed in Alexandria.

The space group is P4/mmm (No. 123) and the conventional cell measures 4.298, 4.298 and 3.458 Å, with angles of 90.00, 90.00 and 90.00 degrees. The asymmetric unit holds Mn at (0.000, 0.000, 0.000), Hg at (0.500, 0.500, 0.000) and P at (0.000, 0.500, 0.500).

The crystal system is tetragonal. Its magnetic moment is 0.9420 μB per atom. The final energy comes out at -105.58 eV per cell.

***

First-principles (meta-GGA SCAN) data for a crystal of Mn2HgP relaxed with PBEsol, as listed in Alexandria.

The space group is P4mm (No. 99) and the conventional cell measures 2.757, 2.757 and 7.540 Å, with angles of 90.00, 90.00 and 90.00 degrees. The asymmetric unit holds Mn at (0.000, 0.000, 0.000), Mn at (0.500, 0.500, 0.185), Hg at (0.500, 0.500, 0.728) and P at (0.000, 0.000, 0.359).

The crystal system is tetragonal. Its magnetic moment is 0.6619 μB per atom. The final energy comes out at -114.58 eV per cell.